## MgNpBi2 (PBE)

Data for a relaxed structure of MgNpBi2.

The structure belongs to space group P4/mmm (No. 123); the cell edges are 5.0643, 5.0643 and 4.2585 Å and the angles 90.00°, 90.00° and 90.00°. The asymmetric unit holds Mg at (0.0000, 0.0000, 0.0000), Np at (0.5000, 0.5000, 0.0000) and Bi at (0.0000, 0.5000, 0.5000).

The calculation puts the distance to the lowest polymorph of the same formula at 0.0000 eV per atom. The total magnetization comes out at 4.09 Bohr magnetons per cell.


## RbIn4Ag4 (PBE)

Data for a relaxed structure of RbIn4Ag4.

The structure belongs to space group P4_2/nmc (No. 137, origin choice 2); the cell edges are 6.9460, 6.9460 and 9.6924 Å and the angles 90.00°, 90.00° and 90.00°. The asymmetric unit holds Rb at (0.2500, 0.7500, 0.2500), In at (0.0134, 0.2500, 0.1404) and Ag at (0.0480, 0.2500, 0.4348).

Its total energy is -23.610 eV/f.u. The total magnetization comes out at 0.00 Bohr magnetons per cell.


## AcNdPd10 (PBE)

Data for a relaxed structure of AcNdPd10.

The structure belongs to space group Pmmm (No. 47); the cell edges are 4.5051, 5.4121 and 9.3790 Å and the angles 90.00°, 90.00° and 90.00°. The asymmetric unit holds Ac at (0.0000, 0.0000, 0.0000), Nd at (0.0000, 0.5000, 0.5000), Pd at (0.0000, 0.0000, 0.3389), Pd at (0.0000, 0.5000, 0.1729), Pd at (0.5000, 0.0000, 0.5000), Pd at (0.5000, 0.2508, 0.2528) and Pd at (0.5000, 0.5000, 0.0000).

Its total energy is -67.400 eV/f.u. The total magnetization comes out at 0.00 Bohr magnetons per cell.


## LiTh2Pt2 (PBE)

Data for a relaxed structure of LiTh2Pt2.

The structure belongs to space group P4/mbm (No. 127); the cell edges are 7.8608, 7.8608 and 3.8551 Å and the angles 90.00°, 90.00° and 90.00°. The asymmetric unit holds Li at (0.0000, 0.0000, 0.0000), Th at (0.1682, 0.3318, 0.5000) and Pt at (0.1348, 0.6348, 0.0000).

Its total energy is -33.605 eV/f.u. The total magnetization comes out at 0.00 Bohr magnetons per cell.


## Dy7Ga2Hg2 (PBE)

Data for a relaxed structure of Dy7Ga2Hg2.

The structure belongs to space group Cmmm (No. 65); the cell edges are 7.5365, 10.8001 and 7.7897 Å and the angles 90.00°, 90.00° and 90.00°. The asymmetric unit holds Dy at (0.0000, 0.0000, 0.0000), Dy at (0.0000, 0.5000, 0.2749), Dy at (0.2500, 0.2500, 0.2933), Ga at (0.1696, 0.0000, 0.5000) and Hg at (0.0000, 0.2937, 0.0000).

Its total energy is -40.121 eV/f.u. The total magnetization comes out at 0.00 Bohr magnetons per cell.


## Th4ReTeSe2 (PBE)

Data for a relaxed structure of Th4ReTeSe2.

The structure belongs to space group P2/m (No. 10); the cell edges are 7.4367, 4.1941 and 7.7333 Å and the angles 90.00°, 108.33° and 90.00°. The asymmetric unit holds Th at (0.2242, 0.0000, 0.2148), Th at (0.2523, 0.5000, 0.7789), Re at (0.0000, 0.5000, 0.0000), Te at (0.0000, 0.0000, 0.5000), Se at (0.5000, 0.0000, 0.0000) and Se at (0.5000, 0.5000, 0.5000).

The value obtained for the uncorrected formation energy is -1.000 eV per atom. The total magnetization comes out at 0.00 Bohr magnetons per cell.


Question: What is the total magnetization in the first record?
Answer: 4.09 Bohr magnetons per cell


Question: The highest total magnetization belongs to which entry?
Answer: MgNpBi2